Record 1
Rb2Np2ScSe6 (PBE-GGA, relaxed); DOS at the Fermi energy = 19.59 states/eV per cell; V = 360.40 Å³/cell; crystal system = monoclinic
1.0
3.576 -6.165 0.000
3.576 6.165 0.000
-2.395 0.000 8.174
Rb Np Sc Se
2 2 1 6
direct
0.168 0.832 0.000
0.832 0.168 0.000
0.333 0.667 0.500
0.667 0.333 0.500
0.000 0.000 0.500
0.064 0.387 0.688
0.259 0.259 0.313
0.387 0.064 0.688
0.613 0.936 0.312
0.741 0.741 0.687
0.936 0.613 0.312

Record 2
YMg7 (PBE-GGA, relaxed); calculated formation energy = -0.0501 eV per atom; DOS at the Fermi energy = 3.96 states/eV per cell; V = 193.73 Å³/cell; crystal system = tetragonal
1.0
-2.298 2.298 9.175
2.298 -2.298 9.175
2.298 2.298 -9.175
Y Mg
1 7
direct
0.000 0.000 0.000
0.129 0.629 0.500
0.245 0.245 0.000
0.371 0.871 0.500
0.500 0.500 0.000
0.629 0.129 0.500
0.755 0.755 0.000
0.871 0.371 0.500

Computed electronic total energy, in the same sequence as the records: -6.36, -2.25 eV/atom.